[1]
Density functional theory data (PBE) for crystalline Li3HfCd6 at its relaxed geometry.

```
Li3HfCd6
1.0
-1.051 -1.287 4.265
-4.669 -6.628 -3.151
8.894 -4.378 0.870
Cd Li Hf
12 6 2
Direct
0.750 0.528 0.900
0.250 0.832 0.283
0.750 0.936 0.097
0.250 0.624 0.683
0.250 0.163 0.207
0.750 0.376 0.317
0.750 0.837 0.793
0.750 0.728 0.479
0.750 0.168 0.717
0.250 0.472 0.100
0.250 0.064 0.903
0.250 0.272 0.521
0.250 0.746 0.973
0.250 0.350 0.810
0.750 0.254 0.027
0.750 0.451 0.605
0.250 0.549 0.395
0.750 0.650 0.190
0.250 0.946 0.593
0.750 0.054 0.407
```

Computed properties:
- VASP energy: -2.27 eV per atom
- ρ: 7.4 g/cm³
- Magnetic moment: 0.0 μB per formula unit
- Symmetry: No. 11

[2]
Density functional theory data (PBE) for crystalline Nd12Bi3C5 at its relaxed geometry.

```
Nd12Bi3C5
1.0
-11.836 -6.143 5.331
11.546 -7.479 4.122
1.022 13.465 4.888
Nd C Bi
48 20 12
Direct
0.111 0.699 0.515
0.413 0.111 0.596
0.087 0.904 0.389
0.817 0.904 0.015
0.889 0.587 0.904
0.904 0.817 0.515
0.199 0.683 0.087
0.913 0.096 0.611
0.596 0.611 0.413
0.817 0.913 0.301
0.301 0.413 0.817
0.096 0.183 0.485
0.611 0.015 0.199
0.587 0.889 0.404
0.683 0.485 0.596
0.889 0.301 0.485
0.596 0.985 0.683
0.183 0.096 0.985
0.087 0.183 0.199
0.111 0.413 0.096
0.413 0.301 0.317
0.985 0.596 0.183
0.913 0.817 0.801
0.485 0.683 0.096
0.485 0.801 0.889
0.183 0.087 0.699
0.611 0.596 0.913
0.404 0.389 0.587
0.199 0.515 0.611
0.699 0.587 0.183
0.801 0.317 0.913
0.904 0.087 0.889
0.015 0.404 0.817
0.389 0.985 0.801
0.985 0.389 0.301
0.515 0.199 0.111
0.587 0.699 0.683
0.317 0.515 0.404
0.683 0.199 0.587
0.015 0.611 0.699
0.515 0.317 0.904
0.404 0.015 0.317
0.317 0.801 0.413
0.699 0.111 0.015
0.801 0.485 0.389
0.096 0.913 0.111
0.389 0.404 0.087
0.301 0.889 0.985
0.000 0.500 0.000
0.625 0.750 0.875
0.500 0.500 0.500
0.375 0.125 0.750
0.875 0.250 0.625
0.500 0.000 0.000
0.000 0.500 0.500
0.875 0.625 0.750
0.250 0.375 0.625
0.750 0.625 0.375
0.500 0.000 0.500
0.250 0.875 0.125
0.000 0.000 0.000
0.625 0.875 0.250
0.375 0.250 0.125
0.125 0.750 0.375
0.000 0.000 0.500
0.500 0.500 0.000
0.750 0.125 0.875
0.125 0.375 0.250
0.375 0.750 0.625
0.125 0.250 0.875
0.750 0.375 0.125
0.250 0.125 0.375
0.125 0.875 0.750
0.875 0.750 0.125
0.625 0.375 0.750
0.625 0.250 0.375
0.375 0.625 0.250
0.250 0.625 0.875
0.750 0.875 0.625
0.875 0.125 0.250
```

Computed properties:
- VASP energy: -5.97 eV per atom
- ρ: 7.0 g/cm³
- Magnetic moment: 0.0 μB per formula unit
- Symmetry: No. 230

[3]
Density functional theory data (PBE) for crystalline Cs3NaH2F6 at its relaxed geometry.

```
Cs3NaH2F6
1.0
5.944 0.000 0.000
-2.972 5.148 0.000
0.000 0.000 7.342
H F Cs Na
2 6 3 1
Direct
0.333 0.667 0.298
0.667 0.333 0.702
0.803 0.606 0.697
0.197 0.394 0.303
0.803 0.197 0.697
0.606 0.803 0.303
0.197 0.803 0.303
0.394 0.197 0.697
0.000 0.000 0.000
0.667 0.333 0.312
0.333 0.667 0.688
0.000 0.000 0.500
```

Computed properties:
- VASP energy: -4.01 eV per atom
- ρ: 4.0 g/cm³
- Magnetic moment: 0.0 μB per formula unit
- Symmetry: No. 164

[4]
Density functional theory data (PBE) for crystalline LuHfGa at its relaxed geometry.

```
LuHfGa
1.0
-0.727 -2.827 1.497
1.233 -1.664 -2.544
5.227 2.243 3.181
Lu Ga Hf
1 1 1
Direct
0.008 0.008 0.015
0.672 0.672 0.344
0.321 0.321 0.641
```

Computed properties:
- VASP energy: -6.14 eV per atom
- Offset from the most stable computed form: 0 meV/atom
- ρ: 10.7 g/cm³
- Magnetic moment: 0.0 μB per formula unit
- Symmetry: No. 107

What is the VASP energy in the fourth record?
-6.14 eV per atom

Which of these has the lowest ρ?
Cs3NaH2F6